# Sc2TlOs

Sc2TlOs after structural relaxation (GGA-PBE, Alexandria).

## Properties
total DFT energy (no corrections): -6.63 eV/atom
density of states at the Fermi level: 0.925 states/eV/atom
volume: 19.30 Å³ per atom

a = 4.222 Å, b = 4.222 Å, c = 8.658 Å
α = 90.00°, β = 90.00°, γ = 90.00°
Space group I-4m2 (No. 119)
Inequivalent atoms, fractional coordinates:
Sc: 0.000 0.000 0.000 x2
Sc: 0.000 0.500 0.250 x2
Tl: 0.000 0.500 0.750 x2
Os: 0.000 0.000 0.500 x2